A relaxed BaYH3 crystal. Source: the Alexandria database, functional PBE.

abc: 4.424 4.424 4.424
angles: 90.00 90.00 90.00
Fractional positions:
Ba 0.000 0.000 0.000
Y 0.500 0.500 0.500
H 0.000 0.500 0.500
H 0.500 0.000 0.500
H 0.500 0.500 0.000

- spin magnetization (μB per formula unit) = 0.77
- mass density (g/cm3) = 4.40
- polymorph energy (0 for the lowest one) (kJ/mol of atoms) = 0.00
- space group = Pm-3m (221)

A relaxed FeIrOs crystal. Source: the Alexandria database, functional PBE.

abc: 2.704 4.999 6.300
angles: 78.88 89.94 89.91
Fractional positions:
Fe 0.249 0.424 0.342
Fe 0.751 0.576 0.658
Ir 0.250 0.760 0.962
Ir 0.750 0.240 0.038
Os 0.251 0.908 0.353
Os 0.749 0.092 0.647

- spin magnetization (μB per formula unit) = 2.35
- mass density (g/cm3) = 17.42
- polymorph energy (0 for the lowest one) (kJ/mol of atoms) = 15.01
- space group = P-1 (2)
- energy of formation (eV/atom) = 0.18

A relaxed PrNd5Dy2Er crystal. Source: the Alexandria database, functional PBE.

abc: 10.618 10.618 10.797
angles: 90.00 90.00 148.99
Fractional positions:
Pr 0.202 0.798 0.500
Pr 0.798 0.202 0.000
Nd 0.016 0.984 0.513
Nd 0.281 0.719 0.799
Nd 0.297 0.703 0.194
Nd 0.392 0.608 0.516
Nd 0.480 0.520 0.234
Nd 0.520 0.480 0.734
Nd 0.608 0.392 0.016
Nd 0.703 0.297 0.694
Nd 0.719 0.281 0.299
Nd 0.984 0.016 0.013
Dy 0.110 0.890 0.229
Dy 0.116 0.884 0.808
Dy 0.884 0.116 0.308
Dy 0.890 0.110 0.729
Er 0.410 0.590 0.951
Er 0.590 0.410 0.451

- spin magnetization (μB per formula unit) = 0.00
- mass density (g/cm3) = 7.17
- space group = Cmc2_1 (36)
- energy of formation (eV/atom) = 0.14

A relaxed Ti3OsCl crystal. Source: the Alexandria database, functional PBE.

abc: 4.847 4.847 4.847
angles: 90.00 90.00 90.00
Fractional positions:
Ti 0.000 0.000 0.500
Ti 0.000 0.500 0.000
Ti 0.500 0.000 0.000
Os 0.000 0.000 0.000
Cl 0.500 0.500 0.500

- spin magnetization (μB per formula unit) = 2.32
- mass density (g/cm3) = 5.38
- polymorph energy (0 for the lowest one) (kJ/mol of atoms) = 21.84
- space group = Pm-3m (221)
- formation energy (no corrections) (eV/atom) = 0.4358

A relaxed TiGaS3 crystal. Source: the Alexandria database, functional PBE.

abc: 4.618 4.618 4.618
angles: 90.00 90.00 90.00
Fractional positions:
Ti 0.000 0.000 0.000
Ga 0.500 0.500 0.500
S 0.000 0.500 0.500
S 0.500 0.000 0.500
S 0.500 0.500 0.000

- spin magnetization (μB per formula unit) = 0.09
- mass density (g/cm3) = 3.60
- polymorph energy (0 for the lowest one) (kJ/mol of atoms) = 102.07
- space group = Pm-3m (221)
- formation energy (no corrections) (eV/atom) = 0.1934

A relaxed NaSr3Pb crystal. Source: the Alexandria database, functional PBE.

abc: 6.193 6.193 6.193
angles: 90.00 90.00 90.00
Fractional positions:
Na 0.000 0.000 0.000
Sr 0.000 0.000 0.500
Sr 0.000 0.500 0.000
Sr 0.500 0.000 0.000
Pb 0.500 0.500 0.500

- spin magnetization (μB per formula unit) = 0.00
- mass density (g/cm3) = 3.45
- polymorph energy (0 for the lowest one) (kJ/mol of atoms) = 55.54
- space group = Pm-3m (221)
- energy of formation (eV/atom) = 0.30

A relaxed LuGe6 crystal. Source: the Alexandria database, functional PBE.

abc: 6.112 6.112 6.112
angles: 109.47 109.47 109.47
Fractional positions:
Lu 0.000 0.000 0.000
Ge 0.250 0.500 0.750
Ge 0.250 0.750 0.500
Ge 0.500 0.250 0.750
Ge 0.500 0.750 0.250
Ge 0.750 0.250 0.500
Ge 0.750 0.500 0.250

- spin magnetization (μB per formula unit) = 0.00
- mass density (g/cm3) = 5.77
- space group = Im-3m (229)
- energy of formation (eV/atom) = 0.31

A relaxed Be2CdAs crystal. Source: the Alexandria database, functional PBE.

abc: 3.611 4.049 4.643
angles: 90.00 90.00 90.00
Fractional positions:
Be 0.000 0.000 0.226
Be 0.000 0.000 0.774
Cd 0.500 0.500 0.000
As 0.500 0.000 0.500

- spin magnetization (μB per formula unit) = 0.00
- mass density (g/cm3) = 5.02
- polymorph energy (0 for the lowest one) (kJ/mol of atoms) = 8.50
- space group = Pmmm (47)
- energy of formation (eV/atom) = 0.29

Question: Look up the spin magnetization of the first one.
Answer: 0.77 μB per formula unit

Repeat the sixth record exactly.
A relaxed NaSr3Pb crystal. Source: the Alexandria database, functional PBE.

abc: 6.193 6.193 6.193
angles: 90.00 90.00 90.00
Fractional positions:
Na 0.000 0.000 0.000
Sr 0.000 0.000 0.500
Sr 0.000 0.500 0.000
Sr 0.500 0.000 0.000
Pb 0.500 0.500 0.500

- spin magnetization (μB per formula unit) = 0.00
- mass density (g/cm3) = 3.45
- polymorph energy (0 for the lowest one) (kJ/mol of atoms) = 55.54
- space group = Pm-3m (221)
- energy of formation (eV/atom) = 0.30

Question: mass density of number 4 (Ti3OsCl)?
Answer: 5.38 g/cm3